[1]
First-principles (PBE-GGA) data for crystalline GdHfNiRh at its relaxed geometry, as listed in Alexandria. Values from VASP.

## Properties
Symmetry ... F-43m, No. 216

```
&SYSTEM
  ibrav = 0, nat = 4, ntyp = 4
/
ATOMIC_SPECIES
Rh 102.91 Rh.upf
Gd 157.25 Gd.upf
Ni 58.69 Ni.upf
Hf 178.49 Hf.upf
CELL_PARAMETERS angstrom
-4.4728 -1.3329 -0.7058
-0.9302 -4.0862 -2.1723
-1.7988 -3.6159 2.4435
ATOMIC_POSITIONS angstrom
Rh -5.4014 -6.7763 -0.3260
Gd 0.0000 0.0000 0.0000
Ni -1.8005 -2.2588 -0.1087
Hf -3.6009 -4.5175 -0.2173
```


[2]
First-principles (PBE-GGA) data for crystalline CaZrAs2 at its relaxed geometry, as listed in Alexandria. Values from VASP.

## Properties
Energy above the lowest structure with this stoichiometry ... 4.23 eV/f.u.
Symmetry ... Cmm2, No. 35

```
&SYSTEM
  ibrav = 0, nat = 4, ntyp = 3
/
ATOMIC_SPECIES
Zr 91.22 Zr.upf
As 74.92 As.upf
Ca 40.08 Ca.upf
CELL_PARAMETERS angstrom
3.2151 -0.0033 0.0000
-0.4569 3.1825 0.0000
0.0000 0.0000 9.9171
ATOMIC_POSITIONS angstrom
Zr 1.3791 1.5896 7.8446
As 1.3791 1.5896 2.6796
Ca 0.0000 0.0000 4.7513
As 0.0000 0.0000 9.5173
```


Values for density of states at the Fermi level, states/eV/atom, ordered as above
1.29 0.82
Values for V, Å³ per atom, ordered as above
18.59 25.36
Values for E_form, eV per atom, ordered as above
-0.51 -0.12